# 1
This record from Alexandria describes crystalline Li3ZrCl at its relaxed geometry. The functional is PBEsol.

Output
Calculated density (Mg/m³): 2.55
Calculated total energy (eV/atom): -3.31
Total magnetic moment (μB per formula unit): 0.029
Formation energy from raw total energies (eV/atom): 0.0856

The structure in POSCAR format:
```
Li3ZrCl
1.0
4.5769 0.0000 0.0000
0.0000 4.5769 0.0000
0.0000 0.0000 4.5769
Li Zr Cl
3 1 1
direct
0.0000 0.0000 0.5000
0.0000 0.5000 0.0000
0.5000 0.0000 0.0000
0.5000 0.5000 0.5000
0.0000 0.0000 0.0000
```

---

# 2
This record from Alexandria describes crystalline ReIrN3 at its relaxed geometry. The functional is PBEsol.

Output
Calculated density (Mg/m³): 12.53
Calculated total energy (eV/atom): -7.85
Total magnetic moment (μB per formula unit): 1.313
Formation energy from raw total energies (eV/atom): 1.9009

The structure in POSCAR format:
```
ReIrN3
1.0
3.8195 0.0000 0.0000
0.0000 3.8195 0.0000
0.0000 0.0000 3.8195
Re Ir N
1 1 3
direct
0.0000 0.0000 0.0000
0.5000 0.5000 0.5000
0.0000 0.5000 0.5000
0.5000 0.0000 0.5000
0.5000 0.5000 0.0000
```

---

# 3
This record from Alexandria describes crystalline CrHgBiC2 at its relaxed geometry. The functional is PBEsol.

Output
Calculated density (Mg/m³): 9.62
Calculated total energy (eV/atom): -5.51
E_form (kJ per mole of atoms): 132
Total magnetic moment (μB per formula unit): 0.145

The structure in POSCAR format:
```
CrHgBiC2
1.0
3.9310 0.0000 0.0000
0.0000 3.9310 0.0000
0.0000 0.0000 5.4269
Cr Hg Bi C
1 1 1 2
direct
0.0000 0.0000 0.0000
0.5000 0.5000 0.5000
0.0000 0.0000 0.5000
0.0000 0.5000 0.0000
0.5000 0.0000 0.0000
```

---

# 4
This record from Alexandria describes crystalline LiYBeSb2 at its relaxed geometry. The functional is PBEsol.

Output
Calculated density (Mg/m³): 5.51
Calculated total energy (eV/atom): -4.31
Total magnetic moment (μB per formula unit): 0.000
Formation energy from raw total energies (eV/atom): 0.0734

The structure in POSCAR format:
```
LiYBeSb2
1.0
4.9608 0.0000 0.0000
0.0000 4.9608 0.0000
0.0000 0.0000 4.2688
Li Y Be Sb
1 1 1 2
direct
0.0000 0.0000 0.0000
0.5000 0.5000 0.5000
0.0000 0.0000 0.5000
0.0000 0.5000 0.0000
0.5000 0.0000 0.0000
```

---

# 5
This record from Alexandria describes crystalline Zr2CdHg at its relaxed geometry. The functional is PBEsol.

Output
Calculated density (Mg/m³): 10.06
Energy relative to the lowest polymorph listed for this composition (eV per atom): 0.002
Calculated total energy (eV/atom): -5.21
E_form (kJ per mole of atoms): -22
Total magnetic moment (μB per formula unit): 0.001

The structure in POSCAR format:
```
Zr2CdHg
1.0
3.1451 -4.2871 0.0000
3.1451 4.2871 0.0000
0.0000 0.0000 3.0327
Zr Cd Hg
2 1 1
direct
0.0000 0.5000 0.0000
0.5000 0.0000 0.0000
0.0000 0.0000 0.5000
0.5000 0.5000 0.5000
```

---

# 6
This record from Alexandria describes crystalline MgCo2Si at its relaxed geometry. The functional is PBEsol.

Output
Calculated density (Mg/m³): 6.31
Calculated total energy (eV/atom): -6.09
Total magnetic moment (μB per formula unit): 0.001
Formation energy from raw total energies (eV/atom): -0.3574

The structure in POSCAR format:
```
MgCo2Si
1.0
0.0000 2.8195 2.8195
2.8195 0.0000 2.8195
2.8195 2.8195 0.0000
Mg Co Si
1 2 1
direct
0.0000 0.0000 0.0000
0.2500 0.2500 0.2500
0.7500 0.7500 0.7500
0.5000 0.5000 0.5000
```

---

# 7
This record from Alexandria describes crystalline NaTa3Pb at its relaxed geometry. The functional is PBEsol.

Output
Calculated density (Mg/m³): 12.67
Calculated total energy (eV/atom): -6.43
E_form (kJ per mole of atoms): 210
Total magnetic moment (μB per formula unit): 0.000

The structure in POSCAR format:
```
NaTa3Pb
1.0
4.6618 0.0000 0.0000
0.0000 4.6618 0.0000
0.0000 0.0000 4.6618
Na Ta Pb
1 3 1
direct
0.0000 0.0000 0.0000
0.0000 0.0000 0.5000
0.0000 0.5000 0.0000
0.5000 0.0000 0.0000
0.5000 0.5000 0.5000
```

---

# 8
This record from Alexandria describes crystalline ReNiOs at its relaxed geometry. The functional is PBEsol.

Output
Calculated density (Mg/m³): 18.40
Energy relative to the lowest polymorph listed for this composition (eV per atom): 0.000
Calculated total energy (eV/atom): -10.56
E_form (kJ per mole of atoms): 1
Total magnetic moment (μB per formula unit): 0.000

The structure in POSCAR format:
```
ReNiOs
1.0
-1.3406 1.8727 3.9111
1.3406 -1.8727 3.9111
1.3406 1.8727 -3.9111
Re Ni Os
1 1 1
direct
0.0000 0.0000 0.0000
0.6663 0.6663 0.0000
0.3315 0.3315 0.0000
```

---

- What is the total magnetic moment in the second record?
  1.313 μB per formula unit

---

Copy entry 5 word for word.
This record from Alexandria describes crystalline Zr2CdHg at its relaxed geometry. The functional is PBEsol.

Output
Calculated density (Mg/m³): 10.06
Energy relative to the lowest polymorph listed for this composition (eV per atom): 0.002
Calculated total energy (eV/atom): -5.21
E_form (kJ per mole of atoms): -22
Total magnetic moment (μB per formula unit): 0.001

The structure in POSCAR format:
```
Zr2CdHg
1.0
3.1451 -4.2871 0.0000
3.1451 4.2871 0.0000
0.0000 0.0000 3.0327
Zr Cd Hg
2 1 1
direct
0.0000 0.5000 0.0000
0.5000 0.0000 0.0000
0.0000 0.0000 0.5000
0.5000 0.5000 0.5000
```

---

- calculated density of number 5 (Zr2CdHg)?
  10.06 Mg/m³

---

- Which of these has the highest calculated density?
  ReNiOs